[1]
The following is a PBE calculation of an optimized crystal structure of YPtNF2, from the Alexandria database.

Output
D(E_F) ... 3.5 states/eV per cell
E above lowest polymorph ... 223 meV/atom
Symmetry ... No. 123
DFT total energy ... -5.71 eV per atom

Cell lengths 4.630, 4.630, 3.729 Å; angles 90.00, 90.00, 90.00 degrees
Sites, in units of the cell vectors:
Y 0.000 0.000 0.000
Pt 0.500 0.500 0.500
N 0.500 0.500 0.000
F 0.000 0.500 0.500
F 0.500 0.000 0.500

[2]
The following is a PBE calculation of an optimized crystal structure of YPtNF2, from the Alexandria database.

Output
D(E_F) ... 5.4 states/eV per cell
E above lowest polymorph ... 0 meV/atom
Symmetry ... No. 123
DFT total energy ... -5.93 eV per atom

Cell lengths 4.189, 4.189, 4.876 Å; angles 90.00, 90.00, 90.00 degrees
Sites, in units of the cell vectors:
Y 0.000 0.000 0.000
Pt 0.500 0.500 0.500
N 0.000 0.000 0.500
F 0.000 0.500 0.000
F 0.500 0.000 0.000

[3]
The following is a PBE calculation of an optimized crystal structure of Pu2N2F, from the Alexandria database.

Output
D(E_F) ... 9.8 states/eV per cell
Symmetry ... No. 164
DFT total energy ... -11.27 eV per atom

Cell lengths 3.815, 3.815, 6.119 Å; angles 90.00, 90.00, 120.00 degrees
Sites, in units of the cell vectors:
Pu 0.333 0.667 0.222
Pu 0.667 0.333 0.778
N 0.333 0.667 0.857
N 0.667 0.333 0.143
F 0.000 0.000 0.500